Record 1
Ca2PuNpP4 | PBE-GGA | relaxed

Space-group type: No. 10

Lattice parameters (Å, degrees): 4.0569 7.0316 6.9863 109.56 90.00 90.00
Last column: nearest neighbours and their distance in Å.
Positions (direct):
P1 0.0000 0.7452 0.2236  1 Np 2.74, 2 Pu 2.78, 3 Ca 2.96-2.99
P2 0.5000 0.7626 0.7765  2 Np 2.76, 1 Pu 2.79, 3 Ca 2.95-2.98
P3 0.5000 0.2374 0.2235  2 Np 2.76, 1 Pu 2.79, 3 Ca 2.95-2.98
P4 0.0000 0.2548 0.7764  1 Np 2.74, 2 Pu 2.78, 3 Ca 2.96-2.99
Ca1 0.5000 0.0000 0.5000  6 P 2.95-2.96
Ca2 0.0000 0.5000 0.5000  6 P 2.98-2.99
Pu1 0.5000 0.5000 0.0000  6 P 2.78-2.79
Np1 0.0000 0.0000 0.0000  6 P 2.74-2.76



Record 2
Ca2Np2Sb2P | PBE-GGA | relaxed

Uncorrected formation energy: -0.5634 eV/atom
Space-group type: No. 139

Lattice parameters (Å, degrees): 5.1827 5.1827 8.9025 106.92 106.92 90.00
Last column: nearest neighbours and their distance in Å.
Positions (direct):
Sb1 0.3695 0.3695 0.7390  1 Ca 3.16, 4 Np 3.35
Sb2 0.6305 0.6305 0.2610  1 Ca 3.16, 4 Np 3.35
P1 0.0000 0.0000 0.0000  4 Np 2.59, 2 Ca 2.84
Np1 0.0000 0.5000 0.0000  2 P 2.59
Np2 0.5000 0.0000 0.0000  2 P 2.59
Ca1 0.8250 0.8250 0.6501  1 P 2.84, 1 Sb 3.16
Ca2 0.1750 0.1750 0.3499  1 P 2.84, 1 Sb 3.16



Record 3
Ca2NpScP4 | PBE-GGA | relaxed

Space-group type: No. 10

Lattice parameters (Å, degrees): 3.9945 6.8081 6.9617 108.94 90.00 90.00
Last column: nearest neighbours and their distance in Å.
Positions (direct):
Ca1 0.0000 0.5000 0.5000  6 P 2.94
Ca2 0.5000 0.0000 0.5000  6 P 2.92-2.94
Np1 0.0000 0.0000 0.0000  6 P 2.67-2.73
Sc1 0.5000 0.5000 0.0000  6 P 2.69-2.73
P1 0.5000 0.7582 0.7779  1 Sc 2.69, 2 Np 2.73, 3 Ca 2.92-2.94
P2 0.0000 0.2567 0.7796  1 Np 2.67, 2 Sc 2.73, 3 Ca 2.94
P3 0.0000 0.7433 0.2204  1 Np 2.67, 2 Sc 2.73, 3 Ca 2.94
P4 0.5000 0.2418 0.2221  1 Sc 2.69, 2 Np 2.73, 3 Ca 2.92-2.94



Record 4
CaTb2NpP4 | PBE-GGA | relaxed

Space-group type: No. 10

Lattice parameters (Å, degrees): 4.0250 6.9584 6.9575 109.02 90.00 90.00
Last column: nearest neighbours and their distance in Å.
Positions (direct):
P1 0.0000 0.2370 0.7519  1 Np 2.75, 3 Tb 2.82-2.92, 2 Ca 2.88
P2 0.0000 0.7630 0.2481  1 Np 2.75, 3 Tb 2.82-2.92, 2 Ca 2.88
P3 0.5000 0.2409 0.2459  3 Tb 2.80-2.89, 2 Np 2.81, 1 Ca 2.86
P4 0.5000 0.7591 0.7541  3 Tb 2.80-2.89, 2 Np 2.81, 1 Ca 2.86
Tb1 0.0000 0.5000 0.5000  6 P 2.89-2.92
Tb2 0.5000 0.0000 0.5000  6 P 2.80-2.82
Np1 0.0000 0.0000 0.0000  6 P 2.75-2.81
Ca1 0.5000 0.5000 0.0000  6 P 2.86-2.88



Record 5
Ca2NpTiP4 | PBE-GGA | relaxed

Space-group type: No. 10

Lattice parameters (Å, degrees): 3.8986 6.6541 6.9271 108.68 90.00 90.00
Last column: nearest neighbours and their distance in Å.
Positions (direct):
P1 0.0000 0.7270 0.2142  2 Ti 2.62, 1 Np 2.69, 1 Ca 2.85
P2 0.0000 0.2730 0.7858  2 Ti 2.62, 1 Np 2.69, 1 Ca 2.85
P3 0.5000 0.7452 0.7801  1 Ti 2.56, 2 Np 2.71, 2 Ca 2.86
P4 0.5000 0.2548 0.2199  1 Ti 2.56, 2 Np 2.71, 2 Ca 2.86
Np1 0.0000 0.0000 0.0000  6 P 2.69-2.71
Ca1 0.5000 0.0000 0.5000  6 P 2.95-2.96
Ca2 0.0000 0.5000 0.5000  6 P 2.85-2.86
Ti1 0.5000 0.5000 0.0000  6 P 2.56-2.62



Record 6
Ca2TmNpP4 | PBE-GGA | relaxed

Space-group type: No. 10

Lattice parameters (Å, degrees): 4.0448 6.9318 7.0187 109.11 90.00 90.00
Last column: nearest neighbours and their distance in Å.
Positions (direct):
Tm1 0.5000 0.5000 0.0000  6 P 2.78-2.81
Np1 0.0000 0.0000 0.0000  6 P 2.70-2.75
Ca1 0.0000 0.5000 0.5000  6 P 2.98-2.99
Ca2 0.5000 0.0000 0.5000  6 P 2.91-2.92
P1 0.5000 0.7646 0.7751  2 Np 2.75, 1 Tm 2.78, 3 Ca 2.91-2.98
P2 0.0000 0.2474 0.7730  1 Np 2.70, 2 Tm 2.81, 3 Ca 2.92-2.99
P3 0.5000 0.2354 0.2249  2 Np 2.75, 1 Tm 2.78, 3 Ca 2.91-2.98
P4 0.0000 0.7526 0.2270  1 Np 2.70, 2 Tm 2.81, 3 Ca 2.92-2.99



Record 7
CaTm2NpP4 | PBE-GGA | relaxed

Space-group type: No. 10

Lattice parameters (Å, degrees): 3.9815 6.8900 6.8883 108.97 90.00 90.00
Last column: nearest neighbours and their distance in Å.
Positions (direct):
P1 0.0000 0.7637 0.2532  1 Np 2.75, 3 Tm 2.78-2.86, 2 Ca 2.87
P2 0.5000 0.2436 0.2512  3 Tm 2.76-2.84, 2 Np 2.81, 1 Ca 2.85
P3 0.5000 0.7564 0.7488  3 Tm 2.76-2.84, 2 Np 2.81, 1 Ca 2.85
P4 0.0000 0.2363 0.7468  1 Np 2.75, 3 Tm 2.78-2.86, 2 Ca 2.87
Ca1 0.5000 0.5000 0.0000  6 P 2.85-2.87
Tm1 0.5000 0.0000 0.5000  6 P 2.76-2.78
Tm2 0.0000 0.5000 0.5000  6 P 2.84-2.86
Np1 0.0000 0.0000 0.0000  6 P 2.75-2.81



Record 8
Ca2NpUP4 | PBE-GGA | relaxed

Space-group type: No. 10

Lattice parameters (Å, degrees): 4.0308 6.9792 7.0375 109.32 90.00 90.00
Last column: nearest neighbours and their distance in Å.
Positions (direct):
U1 0.5000 0.5000 0.0000  6 P 2.75-2.76
Ca1 0.0000 0.5000 0.5000  6 P 2.93-2.95
Ca2 0.5000 0.0000 0.5000  6 P 2.96-2.97
P1 0.5000 0.2453 0.2259  1 U 2.75, 2 Np 2.78, 3 Ca 2.95-2.97
P2 0.0000 0.2610 0.7735  2 U 2.76, 1 Np 2.79, 3 Ca 2.93-2.96
P3 0.5000 0.7547 0.7741  1 U 2.75, 2 Np 2.78, 3 Ca 2.95-2.97
P4 0.0000 0.7390 0.2265  2 U 2.76, 1 Np 2.79, 3 Ca 2.93-2.96
Np1 0.0000 0.0000 0.0000  6 P 2.78-2.79



Number 1: E -7.6576 eV per atom, Fermi-level density of states 19.484 states/eV per cell, calculated volume 23.47 Å³/atom. Number 2: E -6.7833 eV per atom, Fermi-level density of states 15.692 states/eV per cell, calculated volume 31.13 Å³/atom. Number 3: E -6.7220 eV per atom, Fermi-level density of states 5.755 states/eV per cell, calculated volume 22.38 Å³/atom. Number 4: E -6.9969 eV per atom, Fermi-level density of states 9.509 states/eV per cell, calculated volume 23.03 Å³/atom. Number 5: E -6.8156 eV per atom, Fermi-level density of states 8.342 states/eV per cell, calculated volume 21.28 Å³/atom. Number 6: E -6.5256 eV per atom, Fermi-level density of states 5.823 states/eV per cell, calculated volume 23.24 Å³/atom. Number 7: E -6.9546 eV per atom, Fermi-level density of states 9.330 states/eV per cell, calculated volume 22.34 Å³/atom. Number 8: E -7.2655 eV per atom, Fermi-level density of states 11.889 states/eV per cell, calculated volume 23.35 Å³/atom.